# 1
VASP calculation (PBE-GGA) on an optimized crystal structure of Er3AlAg4.

Total DFT energy (no corrections) ... -3.731 eV/atom
Mass density ... 8.60 g cm⁻³
SG ... Immm (71)
Energy relative to the elements ... -1.01 eV per formula unit

Cell and atoms, written as extended XYZ:
```
8
Lattice="-1.238 -2.600 -1.755 2.726 -5.764 6.618 -6.016 4.839 0.312" Properties=species:S:1:pos:R:3 pbc="T T T"
Er -2.257 0.281 1.175
Er -2.271 -3.806 4.000
Er 1.363 -2.882 3.309
Al -0.619 -1.300 -0.878
Ag -4.636 1.893 0.464
Ag 0.108 -5.418 4.711
Ag -1.214 -2.623 1.502
Ag -3.314 -0.902 3.674
```

=====

# 2
VASP calculation (PBE-GGA) on an optimized crystal structure of Cs2CF.

Formation energy without anion corrections ... -147 meV/atom
Total DFT energy (no corrections) ... -3.348 eV/atom
Mass density ... 3.20 g cm⁻³
SG ... I-42d (122)
Offset from the most stable computed form ... 0.0000 eV/atom

Cell and atoms, written as extended XYZ:
```
8
Lattice="6.783 -1.341 -2.772 1.483 6.648 3.016 -2.669 -5.154 4.669" Properties=species:S:1:pos:R:3 pbc="T T T"
Cs -1.050 -0.921 6.136
Cs 4.580 -0.253 -1.284
Cs 1.810 -0.644 2.135
Cs 5.853 2.123 2.839
C 1.473 2.073 3.904
C 4.133 2.653 0.122
F 4.123 -1.921 1.010
F 0.000 0.000 0.000
```